Here is a relaxed structure of Ta2AsCl from Alexandria via LeMat-Bulk. Energies are from PBE.

Lattice parameters (Å, degrees): 8.4207 8.4207 8.4207 21.40 21.40 21.40
Positions (direct):
Ta: 0.2455 0.2455 0.2455
Ta: 0.7545 0.7545 0.7545
As: 0.5000 0.5000 0.5000
Cl: 0.0000 0.0000 0.0000

The final energy comes out at -7.444 eV per atom. For the magnetic moment, the calculation gives 0.000 μB/cell. As for the energy relative to the elements, uncorrected: 0.1064 eV per atom. As for the symmetry: R-3m (166). As for the energy relative to the lowest polymorph listed for this composition: 532 meV/atom.